Entry 1:
A plane-wave DFT calculation with PBE was carried out for Tb3Ge2BRu3 after structural relaxation.

E_tot: -6.97 eV per atom
crystal system: hexagonal
D(E_F): 2.63 states/eV/cell
size of the total moment: 0.00 μB/cell

Geometry as CIF:
```
data_Tb3Ge2BRu3
_cell_length_a 7.186
_cell_length_b 7.186
_cell_length_c 3.543
_cell_angle_alpha 90.00
_cell_angle_beta 90.00
_cell_angle_gamma 120.00
_space_group_name_H-M_alt 'P 1'
_space_group_IT_number 1
_space_group_name_Hall 'P 1'
loop_
_atom_site_label
_atom_site_type_symbol
_atom_site_fract_x
_atom_site_fract_y
_atom_site_fract_z
_atom_site_occupancy
Tb1 Tb 0.000 0.374 0.000 1
Tb2 Tb 0.374 0.000 0.000 1
Tb3 Tb 0.626 0.626 0.000 1
Ge1 Ge 0.333 0.667 0.500 1
Ge2 Ge 0.667 0.333 0.500 1
B1 B 0.000 0.000 0.000 1
Ru1 Ru 0.000 0.775 0.500 1
Ru2 Ru 0.225 0.225 0.500 1
Ru3 Ru 0.775 0.000 0.500 1
```



Entry 2:
A plane-wave DFT calculation with PBE was carried out for ThGe2BRu2 after structural relaxation.

E_tot: -7.51 eV per atom
crystal system: tetragonal
D(E_F): 2.99 states/eV/cell
size of the total moment: 0.00 μB/cell

Geometry as CIF:
```
data_ThGe2BRu2
_cell_length_a 4.194
_cell_length_b 4.194
_cell_length_c 5.571
_cell_angle_alpha 90.00
_cell_angle_beta 90.00
_cell_angle_gamma 90.00
_space_group_name_H-M_alt 'P 1'
_space_group_IT_number 1
_space_group_name_Hall 'P 1'
loop_
_atom_site_label
_atom_site_type_symbol
_atom_site_fract_x
_atom_site_fract_y
_atom_site_fract_z
_atom_site_occupancy
Th1 Th 0.000 0.000 0.000 1
Ge1 Ge 0.500 0.500 0.222 1
Ge2 Ge 0.500 0.500 0.778 1
B1 B 0.000 0.000 0.500 1
Ru1 Ru 0.000 0.500 0.500 1
Ru2 Ru 0.500 0.000 0.500 1
```



Entry 3:
A plane-wave DFT calculation with PBE was carried out for ThGeBRu3 after structural relaxation.

E_tot: -8.18 eV per atom
crystal system: orthorhombic
D(E_F): 13.29 states/eV/cell
size of the total moment: 0.00 μB/cell

Geometry as CIF:
```
data_ThGeBRu3
_cell_length_a 6.587
_cell_length_b 6.587
_cell_length_c 5.840
_cell_angle_alpha 90.00
_cell_angle_beta 90.00
_cell_angle_gamma 128.04
_space_group_name_H-M_alt 'P 1'
_space_group_IT_number 1
_space_group_name_Hall 'P 1'
loop_
_atom_site_label
_atom_site_type_symbol
_atom_site_fract_x
_atom_site_fract_y
_atom_site_fract_z
_atom_site_occupancy
Th1 Th 0.246 0.754 0.750 1
Th2 Th 0.754 0.246 0.250 1
Ge1 Ge 0.125 0.875 0.250 1
Ge2 Ge 0.875 0.125 0.750 1
B1 B 0.491 0.509 0.750 1
B2 B 0.509 0.491 0.250 1
Ru1 Ru 0.249 0.249 0.000 1
Ru2 Ru 0.249 0.249 0.500 1
Ru3 Ru 0.328 0.672 0.250 1
Ru4 Ru 0.672 0.328 0.750 1
Ru5 Ru 0.751 0.751 0.000 1
Ru6 Ru 0.751 0.751 0.500 1
```



Entry 4:
A plane-wave DFT calculation with PBE was carried out for TiGeBRu2 after structural relaxation.

E_tot: -5.91 eV per atom
crystal system: tetragonal
D(E_F): 9.15 states/eV/cell
size of the total moment: 0.00 μB/cell

Geometry as CIF:
```
data_TiGeBRu2
_cell_length_a 4.481
_cell_length_b 4.481
_cell_length_c 4.631
_cell_angle_alpha 90.00
_cell_angle_beta 90.00
_cell_angle_gamma 90.00
_space_group_name_H-M_alt 'P 1'
_space_group_IT_number 1
_space_group_name_Hall 'P 1'
loop_
_atom_site_label
_atom_site_type_symbol
_atom_site_fract_x
_atom_site_fract_y
_atom_site_fract_z
_atom_site_occupancy
Ti1 Ti 0.000 0.000 0.000 1
Ge1 Ge 0.000 0.000 0.500 1
B1 B 0.500 0.500 0.000 1
Ru1 Ru 0.000 0.500 0.500 1
Ru2 Ru 0.500 0.000 0.500 1
```